Entry A
An optimized crystal structure of Nd3Y7Er, computed with PBE-GGA.

Structure (POSCAR):
```
Nd3Y7Er
1.0
-0.268 5.256 -6.934
-6.331 -2.720 -1.818
0.338 5.679 4.292
Nd Y Er
3 7 1
direct
0.782 0.500 0.500 Nd
0.782 0.001 0.500 Nd
0.782 0.500 0.999 Nd
0.121 0.168 0.336 Y
0.121 0.168 0.832 Y
0.121 0.664 0.832 Y
0.447 0.833 0.665 Y
0.447 0.833 0.167 Y
0.121 0.667 0.333 Y
0.447 0.335 0.167 Y
0.445 0.333 0.667 Er
```

Size of the total moment (μB/f.u.): 0.00
SG: P3m1

***

Entry B
An optimized crystal structure of Nd3Y7Er, computed with PBE-GGA.

Structure (POSCAR):
```
Nd3Y7Er
1.0
4.716 -0.129 -2.939
-1.050 10.011 -2.127
-1.093 -0.854 8.788
Y Er Nd
7 1 3
direct
0.101 0.171 0.101 Y
0.500 0.000 0.500 Y
0.899 0.829 0.899 Y
0.314 0.633 0.814 Y
0.136 0.287 0.636 Y
0.864 0.713 0.364 Y
0.686 0.367 0.186 Y
0.500 0.500 0.500 Er
0.715 0.994 0.215 Nd
0.285 0.006 0.785 Nd
0.000 0.500 0.000 Nd
```

Size of the total moment (μB/f.u.): 0.00
SG: P2/m

***

Q: Which of them is the least stable? A: entry A.

***

Entry A
An optimized crystal structure of NdY2Er3, computed with PBE-GGA.

Structure (POSCAR):
```
NdY2Er3
1.0
-0.290 5.963 -2.146
-3.446 -2.627 -6.832
-8.029 -0.034 0.994
Nd Er Y
2 6 4
direct
0.788 0.824 0.824 Nd
0.288 0.176 0.176 Nd
0.314 0.918 0.918 Er
0.614 0.484 0.122 Er
0.614 0.122 0.484 Er
0.114 0.878 0.516 Er
0.814 0.082 0.082 Er
0.114 0.516 0.878 Er
0.064 0.625 0.259 Y
0.064 0.259 0.625 Y
0.564 0.375 0.741 Y
0.564 0.741 0.375 Y
```

Size of the total moment (μB/f.u.): 0.00
SG: Cmc2_1

***

Entry B
An optimized crystal structure of NdY2Er3, computed with PBE-GGA.

Structure (POSCAR):
```
NdY2Er3
1.0
6.154 0.088 -0.219
-0.188 6.619 -2.607
0.357 -0.111 9.406
Y Er Nd
4 6 2
direct
0.583 0.542 0.334 Y
0.417 0.458 0.666 Y
0.917 0.208 0.666 Y
0.083 0.792 0.334 Y
0.250 0.375 0.000 Er
0.583 0.042 0.335 Er
0.917 0.707 0.665 Er
0.417 0.958 0.665 Er
0.083 0.293 0.335 Er
0.750 0.625 0.000 Er
0.250 0.875 0.000 Nd
0.750 0.125 0.000 Nd
```

Size of the total moment (μB/f.u.): 0.00
SG: C2/c

***

Q: Which of them is the least stable? A: entry A.

***

Entry A
An optimized crystal structure of NdY6Er12, computed with PBE-GGA.

Structure (POSCAR):
```
NdY6Er12
1.0
0.553 5.161 -7.754
8.649 -2.261 2.674
-4.629 -7.853 -1.995
Er Y Nd
12 6 1
direct
0.892 0.500 0.108 Er
0.108 0.500 0.892 Er
0.500 0.892 0.108 Er
0.367 0.367 0.156 Er
0.156 0.367 0.367 Er
0.633 0.633 0.844 Er
0.892 0.108 0.500 Er
0.633 0.844 0.633 Er
0.108 0.892 0.500 Er
0.500 0.108 0.892 Er
0.844 0.633 0.633 Er
0.367 0.156 0.367 Er
0.249 0.678 0.678 Y
0.678 0.678 0.249 Y
0.678 0.249 0.678 Y
0.322 0.322 0.751 Y
0.751 0.322 0.322 Y
0.322 0.751 0.322 Y
0.000 0.000 0.000 Nd
```

Size of the total moment (μB/f.u.): 0.00
SG: R-3m

***

Entry B
An optimized crystal structure of NdY6Er12, computed with PBE-GGA.

Structure (POSCAR):
```
NdY6Er12
1.0
-2.225 7.639 2.987
1.028 -2.621 8.019
8.100 2.571 0.007
Er Y Nd
12 6 1
direct
0.649 0.992 0.781 Er
0.992 0.781 0.649 Er
0.219 0.351 0.008 Er
0.351 0.008 0.219 Er
0.230 0.454 0.564 Er
0.546 0.436 0.770 Er
0.008 0.219 0.351 Er
0.770 0.546 0.436 Er
0.564 0.230 0.454 Er
0.436 0.770 0.546 Er
0.454 0.564 0.230 Er
0.781 0.649 0.992 Er
0.910 0.318 0.744 Y
0.318 0.744 0.910 Y
0.090 0.682 0.256 Y
0.256 0.090 0.682 Y
0.682 0.256 0.090 Y
0.744 0.910 0.318 Y
0.000 0.000 0.000 Nd
```

Size of the total moment (μB/f.u.): 0.00
SG: R-3

***

Q: Which of them is the least stable? A: entry A.

***

Entry A
An optimized crystal structure of Nd12Y5Er2, computed with PBE-GGA.

Structure (POSCAR):
```
Nd12Y5Er2
1.0
7.575 0.000 0.000
-3.788 8.784 4.033
0.000 0.479 10.049
Y Nd Er
5 12 2
direct
0.825 0.650 0.173 Y
0.679 0.359 0.807 Y
0.321 0.641 0.193 Y
0.000 0.000 0.500 Y
0.175 0.350 0.827 Y
0.075 0.672 0.495 Nd
0.003 0.005 0.792 Nd
0.409 0.321 0.152 Nd
0.088 0.679 0.848 Nd
0.997 0.995 0.208 Nd
0.597 0.672 0.495 Nd
0.508 0.015 0.672 Nd
0.492 0.985 0.328 Nd
0.912 0.321 0.152 Nd
0.925 0.328 0.505 Nd
0.591 0.679 0.848 Nd
0.403 0.328 0.505 Nd
0.701 0.000 0.000 Er
0.299 0.000 0.000 Er
```

Size of the total moment (μB/f.u.): 0.00
SG: C2/m

***

Entry B
An optimized crystal structure of Nd12Y5Er2, computed with PBE-GGA.

Structure (POSCAR):
```
Nd12Y5Er2
1.0
-2.768 -4.440 4.870
-6.075 -2.590 -5.814
10.509 -4.275 -3.170
Nd Er Y
12 2 5
direct
0.947 0.794 0.400 Nd
0.362 0.385 0.211 Nd
0.858 0.940 0.715 Nd
0.053 0.206 0.600 Nd
0.548 0.695 0.096 Nd
0.151 0.615 0.789 Nd
0.453 0.794 0.400 Nd
0.142 0.060 0.285 Nd
0.547 0.206 0.600 Nd
0.849 0.385 0.211 Nd
0.452 0.305 0.904 Nd
0.638 0.615 0.789 Nd
0.742 0.000 0.000 Er
0.258 0.000 0.000 Er
0.650 0.097 0.299 Y
0.249 0.491 0.498 Y
0.751 0.509 0.502 Y
0.350 0.903 0.701 Y
0.000 0.500 0.000 Y
```

Size of the total moment (μB/f.u.): 0.00
SG: C2/m

***

Q: Which of them is the least stable? A: entry A.

***

Entry A
An optimized crystal structure of NdYEr, computed with PBE-GGA.

Structure (POSCAR):
```
NdYEr
1.0
-0.136 3.169 1.681
-2.131 1.282 -2.589
-4.984 -4.548 4.340
Nd Y Er
1 1 1
direct
0.332 0.332 0.664 Nd
0.002 0.002 0.004 Y
0.666 0.666 0.332 Er
```

Size of the total moment (μB/f.u.): 0.00
SG: I4mm

***

Entry B
An optimized crystal structure of NdYEr, computed with PBE-GGA.

Structure (POSCAR):
```
NdYEr
1.0
-0.991 -2.008 2.732
4.658 -3.137 -0.616
0.076 4.539 3.363
Y Nd Er
1 1 1
direct
0.666 0.667 0.333 Y
0.166 0.000 0.000 Nd
0.168 0.333 0.667 Er
```

Size of the total moment (μB/f.u.): 0.00
SG: P-6m2

***

Entry C
An optimized crystal structure of NdYEr, computed with PBE-GGA.

Structure (POSCAR):
```
NdYEr
1.0
-2.717 1.944 1.377
-3.066 -7.241 4.174
5.986 7.400 1.365
Y Nd Er
2 2 2
direct
0.161 0.993 0.200 Y
0.661 0.608 0.143 Y
0.661 0.050 0.919 Nd
0.161 0.550 0.425 Nd
0.161 0.108 0.642 Er
0.661 0.492 0.702 Er
```

Size of the total moment (μB/f.u.): 0.00
SG: P2_1/m

***

Q: Which of them is the least stable? A: entry B.

***

Entry A
An optimized crystal structure of Nd4Y5Er, computed with PBE-GGA.

Structure (POSCAR):
```
Nd4Y5Er
1.0
3.486 0.000 -0.707
-0.118 11.193 -0.581
-0.014 0.490 8.852
Y Nd Er
5 4 1
direct
0.173 0.945 0.347 Y
0.174 0.557 0.349 Y
0.500 0.500 0.000 Y
0.826 0.443 0.651 Y
0.827 0.055 0.653 Y
0.970 0.249 0.941 Nd
0.030 0.751 0.059 Nd
0.346 0.750 0.691 Nd
0.654 0.250 0.309 Nd
0.500 0.000 0.000 Er
```

Size of the total moment (μB/f.u.): 0.00
SG: C2/m

***

Entry B
An optimized crystal structure of Nd4Y5Er, computed with PBE-GGA.

Structure (POSCAR):
```
Nd4Y5Er
1.0
-3.243 0.722 1.428
1.253 -0.864 3.281
6.995 24.139 3.685
Y Nd Er
5 4 1
direct
0.500 0.500 0.298 Y
0.500 0.500 0.500 Y
0.500 0.500 0.096 Y
0.500 0.500 0.702 Y
0.500 0.500 0.904 Y
0.000 0.000 0.802 Nd
0.000 0.000 0.601 Nd
0.000 0.000 0.399 Nd
0.000 0.000 0.198 Nd
0.000 0.000 0.000 Er
```

Size of the total moment (μB/f.u.): 0.00
SG: P4/mmm

***

Q: Which of them is the least stable? A: entry A.

***

Entry A
An optimized crystal structure of Nd2Y4Er, computed with PBE-GGA.

Structure (POSCAR):
```
Nd2Y4Er
1.0
-2.808 -2.268 -5.814
-1.882 -2.309 6.161
-1.830 6.592 0.164
Y Er Nd
4 1 2
direct
0.801 0.199 0.000 Y
0.199 0.801 0.000 Y
0.801 0.801 0.602 Y
0.199 0.199 0.398 Y
0.500 0.500 0.000 Er
0.250 0.750 0.500 Nd
0.750 0.250 0.500 Nd
```

Size of the total moment (μB/f.u.): 0.00
SG: I4/mmm

***

Entry B
An optimized crystal structure of Nd2Y4Er, computed with PBE-GGA.

Structure (POSCAR):
```
Nd2Y4Er
1.0
3.552 0.262 -0.321
-0.905 8.138 -3.272
-0.930 -1.287 8.537
Y Nd Er
4 2 1
direct
0.355 0.154 0.711 Y
0.703 0.292 0.407 Y
0.645 0.846 0.289 Y
0.297 0.708 0.593 Y
0.931 0.568 0.860 Nd
0.069 0.432 0.140 Nd
0.000 0.000 0.000 Er
```

Size of the total moment (μB/f.u.): 0.00
SG: P-1

***

Q: Which of them is the least stable? A: entry A.

***

Entry A
An optimized crystal structure of Nd5Y3Er3, computed with PBE-GGA.

Structure (POSCAR):
```
Nd5Y3Er3
1.0
3.470 0.000 0.000
0.000 9.779 -5.646
0.000 0.000 11.292
Nd Y Er
5 3 3
direct
0.500 0.667 0.333 Nd
0.500 0.337 0.000 Nd
0.500 0.000 0.337 Nd
0.500 0.663 0.663 Nd
0.500 0.333 0.667 Nd
0.000 0.404 0.404 Y
0.000 0.000 0.596 Y
0.000 0.596 0.000 Y
0.500 0.159 0.159 Er
0.500 0.841 0.000 Er
0.500 0.000 0.841 Er
```

Size of the total moment (μB/f.u.): 0.00
SG: P-62m

***

Entry B
An optimized crystal structure of Nd5Y3Er3, computed with PBE-GGA.

Structure (POSCAR):
```
Nd5Y3Er3
1.0
-3.672 -3.557 -2.325
2.812 -6.970 6.222
-7.318 6.001 2.378
Nd Er Y
5 3 3
direct
0.500 0.000 0.729 Nd
0.500 0.271 0.271 Nd
0.500 0.729 0.000 Nd
0.500 0.667 0.333 Nd
0.500 0.333 0.667 Nd
0.500 0.635 0.635 Er
0.500 0.365 0.000 Er
0.500 0.000 0.365 Er
0.000 0.000 0.537 Y
0.000 0.537 0.000 Y
0.000 0.463 0.463 Y
```

Size of the total moment (μB/f.u.): 0.01
SG: P-62m

***

Q: Which of them is the least stable? A: entry B.

***

Entry A
An optimized crystal structure of NdY2Er4, computed with PBE-GGA.

Structure (POSCAR):
```
NdY2Er4
1.0
3.492 -0.244 0.315
-2.631 8.331 -3.506
0.925 -1.216 8.366
Y Er Nd
2 4 1
direct
0.640 0.570 0.859 Y
0.360 0.430 0.141 Y
0.192 0.836 0.287 Er
0.412 0.707 0.588 Er
0.588 0.293 0.412 Er
0.808 0.164 0.713 Er
0.000 0.000 0.000 Nd
```

Size of the total moment (μB/f.u.): 0.00
SG: P-1

***

Entry B
An optimized crystal structure of NdY2Er4, computed with PBE-GGA.

Structure (POSCAR):
```
NdY2Er4
1.0
-3.324 -2.768 -4.283
5.448 -2.636 -2.525
0.647 -7.325 9.042
Y Nd Er
4 2 8
direct
0.384 0.250 0.989 Y
0.292 0.250 0.449 Y
0.616 0.750 0.011 Y
0.708 0.750 0.551 Y
0.183 0.750 0.137 Nd
0.817 0.250 0.863 Nd
0.140 0.750 0.421 Er
0.860 0.250 0.579 Er
0.360 0.991 0.710 Er
0.360 0.509 0.710 Er
0.640 0.009 0.290 Er
0.017 0.250 0.164 Er
0.983 0.750 0.836 Er
0.640 0.491 0.290 Er
```

Size of the total moment (μB/f.u.): 0.00
SG: P2_1/m

***

Q: Which of them is the least stable? A: entry B.

***

Entry A
An optimized crystal structure of Nd2Y6Er3, computed with PBE-GGA.

Structure (POSCAR):
```
Nd2Y6Er3
1.0
-4.936 2.210 2.895
-0.022 0.441 6.125
2.675 11.409 0.221
Y Nd Er
6 2 3
direct
0.416 0.667 0.753 Y
0.584 0.333 0.247 Y
0.083 0.333 0.753 Y
0.251 0.000 0.247 Y
0.917 0.667 0.247 Y
0.749 0.000 0.753 Y
0.833 0.333 0.500 Nd
0.167 0.667 0.500 Nd
0.335 0.330 0.000 Er
0.665 0.670 0.000 Er
0.000 0.000 0.000 Er
```

Size of the total moment (μB/f.u.): 0.00
SG: C2/m

***

Entry B
An optimized crystal structure of Nd2Y6Er3, computed with PBE-GGA.

Structure (POSCAR):
```
Nd2Y6Er3
1.0
-1.478 1.200 -4.338
-4.466 0.176 1.570
4.946 15.500 5.188
Y Nd Er
6 2 3
direct
0.378 0.878 0.756 Y
0.699 0.699 0.397 Y
0.622 0.122 0.244 Y
0.301 0.301 0.603 Y
0.878 0.378 0.756 Y
0.122 0.622 0.244 Y
0.455 0.455 0.909 Nd
0.545 0.545 0.091 Nd
0.801 0.801 0.602 Er
0.000 0.000 0.000 Er
0.199 0.199 0.398 Er
```

Size of the total moment (μB/f.u.): 0.00
SG: I4/mmm

***

Q: Which of them is the least stable? A: entry B.